Record 1
Material: PrY3Sn3
Method: DFT, PBE
State: relaxed

Cell lengths 9.2696, 9.2696, 5.4347 Å; angles 90.00, 90.00, 120.00 degrees
Fractional coordinates of all 14 atoms:
Pr  0.3333  0.6667  0.2500
Pr  0.6667  0.3333  0.7500
Y  0.0019  0.7622  0.2500
Y  0.2378  0.2397  0.2500
Y  0.2397  0.0019  0.7500
Y  0.7603  0.9981  0.2500
Y  0.7622  0.7603  0.7500
Y  0.9981  0.2378  0.7500
Sn  0.0724  0.6245  0.7500
Sn  0.3755  0.4480  0.7500
Sn  0.4480  0.0724  0.2500
Sn  0.5520  0.9276  0.7500
Sn  0.6245  0.5520  0.2500
Sn  0.9276  0.3755  0.2500

---

Record 2
Material: Ho2Pd2Rh
Method: DFT, PBE
State: relaxed

Cell lengths 7.3123, 7.3123, 7.3123 Å; angles 129.88, 70.09, 134.38 degrees
Fractional coordinates of all 10 atoms:
Ho  0.1587  0.2231  0.3819
Ho  0.3413  0.7231  0.0644
Ho  0.6587  0.2769  0.9356
Ho  0.8413  0.7769  0.6181
Pd  0.1010  0.6658  0.7668
Pd  0.3990  0.1658  0.5648
Pd  0.6010  0.8342  0.4352
Pd  0.8990  0.3342  0.2332
Rh  0.2500  0.2500  0.0000
Rh  0.7500  0.7500  0.0000

---

Record 3
Material: Pu2Cl4F3
Method: DFT, PBE
State: relaxed

Values from the calculation:
raw formation energy = -21.92 eV per formula unit

Cell lengths 7.7721, 7.7721, 7.1019 Å; angles 106.50, 106.50, 28.60 degrees
Fractional coordinates of all 9 atoms:
Pu  0.1046  0.1046  0.4351
Pu  0.8954  0.8954  0.5649
Cl  0.0703  0.0703  0.8039
Cl  0.2712  0.2712  0.3175
Cl  0.7288  0.7288  0.6825
Cl  0.9297  0.9297  0.1961
F  0.3914  0.3914  0.7324
F  0.5000  0.5000  0.5000
F  0.6086  0.6086  0.2676

---

Record 4
Material: AcPm15Ho4
Method: DFT, PBE
State: relaxed

Cell lengths 5.1536, 5.1536, 25.7283 Å; angles 90.00, 90.00, 90.00 degrees
Fractional coordinates of all 20 atoms:
Ac  0.0000  0.0000  0.0000
Pm  0.0000  0.5000  0.1052
Pm  0.0000  0.5000  0.3027
Pm  0.0000  0.5000  0.5000
Pm  0.0000  0.5000  0.6973
Pm  0.0000  0.5000  0.8948
Pm  0.5000  0.0000  0.1052
Pm  0.5000  0.0000  0.3027
Pm  0.5000  0.0000  0.5000
Pm  0.5000  0.0000  0.6973
Pm  0.5000  0.0000  0.8948
Pm  0.5000  0.5000  0.0000
Pm  0.5000  0.5000  0.2048
Pm  0.5000  0.5000  0.4015
Pm  0.5000  0.5000  0.5985
Pm  0.5000  0.5000  0.7952
Ho  0.0000  0.0000  0.2037
Ho  0.0000  0.0000  0.4014
Ho  0.0000  0.0000  0.5986
Ho  0.0000  0.0000  0.7963

---

Record 5
Material: Li2TaBe
Method: DFT, PBE
State: relaxed

Cell lengths 2.5963, 3.7584, 6.0495 Å; angles 90.00, 93.32, 90.00 degrees
Fractional coordinates of all 4 atoms:
Li  0.0000  0.0000  0.0000
Li  0.4705  0.5000  0.2454
Ta  0.0074  0.0000  0.5450
Be  0.5301  0.5000  0.7462

---

Record 6
Material: Li5VPd6
Method: DFT, PBE
State: relaxed

Cell lengths 6.6991, 6.6991, 5.9908 Å; angles 90.00, 90.00, 142.75 degrees
Fractional coordinates of all 12 atoms:
Li  0.0000  0.0000  0.0000
Li  0.3311  0.6689  0.5000
Li  0.3338  0.6662  0.0000
Li  0.6662  0.3338  0.0000
Li  0.6689  0.3311  0.5000
V  0.0000  0.0000  0.5000
Pd  0.1641  0.8359  0.2503
Pd  0.1641  0.8359  0.7497
Pd  0.5000  0.5000  0.2524
Pd  0.5000  0.5000  0.7476
Pd  0.8359  0.1641  0.2503
Pd  0.8359  0.1641  0.7497

---

Record 7
Material: NaYAl3
Method: DFT, PBE
State: relaxed

Values from the calculation:
distance to the lowest polymorph of the same formula = 185 meV per atom

Cell lengths 5.6390, 5.6390, 5.6390 Å; angles 90.00, 90.00, 90.00 degrees
Fractional coordinates of all 5 atoms:
Na  0.0000  0.0000  0.0000
Y  0.5000  0.5000  0.5000
Al  0.0000  0.5000  0.5000
Al  0.5000  0.0000  0.5000
Al  0.5000  0.5000  0.0000

---

Record 8
Material: LaPmNi3
Method: DFT, PBE
State: relaxed

Values from the calculation:
distance to the lowest polymorph of the same formula = 0 meV per atom

Cell lengths 12.5748, 12.5748, 4.0763 Å; angles 90.00, 90.00, 161.71 degrees
Fractional coordinates of all 10 atoms:
La  0.0712  0.9288  0.7500
La  0.9288  0.0712  0.2500
Pm  0.2030  0.7970  0.2500
Pm  0.7970  0.2030  0.7500
Ni  0.3260  0.6740  0.2500
Ni  0.3797  0.6203  0.7500
Ni  0.4752  0.5248  0.7500
Ni  0.5248  0.4752  0.2500
Ni  0.6203  0.3797  0.2500
Ni  0.6740  0.3260  0.7500

---

Record 9
Material: LiYHoMn
Method: DFT, PBE
State: relaxed

Cell lengths 7.1119, 7.1119, 7.1119 Å; angles 90.00, 90.00, 90.00 degrees
Fractional coordinates of all 16 atoms:
Li  0.0000  0.0000  0.0000
Li  0.0000  0.5000  0.5000
Li  0.5000  0.0000  0.5000
Li  0.5000  0.5000  0.0000
Y  0.2500  0.2500  0.7500
Y  0.2500  0.7500  0.2500
Y  0.7500  0.2500  0.2500
Y  0.7500  0.7500  0.7500
Ho  0.2500  0.2500  0.2500
Ho  0.2500  0.7500  0.7500
Ho  0.7500  0.2500  0.7500
Ho  0.7500  0.7500  0.2500
Mn  0.0000  0.0000  0.5000
Mn  0.0000  0.5000  0.0000
Mn  0.5000  0.0000  0.0000
Mn  0.5000  0.5000  0.5000

---

Record 10
Material: Sb2AsPtC
Method: DFT, PBE
State: relaxed

Values from the calculation:
raw formation energy = 4.39 eV per formula unit

Cell lengths 4.6463, 4.6463, 4.2963 Å; angles 90.00, 90.00, 90.00 degrees
Fractional coordinates of all 5 atoms:
Sb  0.0000  0.5000  0.0000
Sb  0.5000  0.0000  0.0000
As  0.0000  0.0000  0.5000
Pt  0.5000  0.5000  0.5000
C  0.0000  0.0000  0.0000

---

| no. | raw total energy (eV/atom) | V (Å³ per cell) |
| --- | --- | --- |
| 1 | -5.7379 | 404.42 |
| 2 | -6.0572 | 210.25 |
| 3 | -7.0649 | 196.35 |
| 4 | -4.6629 | 683.34 |
| 5 | -4.5381 | 58.93 |
| 6 | -4.5463 | 162.73 |
| 7 | -2.9806 | 179.32 |
| 8 | -5.7392 | 202.24 |
| 9 | -5.4109 | 359.72 |
| 10 | -4.7536 | 92.75 |